# 1
# Pr2AgPd3 GGA-PBE relaxed
data_Pr2AgPd3
_chemical_formula_sum 'Pr16 Ag8 Pd24'
_cell_length_a 7.460
_cell_length_b 9.404
_cell_length_c 15.653
_cell_angle_alpha 90.00
_cell_angle_beta 90.00
_cell_angle_gamma 90.00
_space_group_name_H-M_alt 'F m m m'
_space_group_IT_number 69
_space_group_name_Hall '-F 2 2'
loop_
_atom_site_label
_atom_site_type_symbol
_atom_site_fract_x
_atom_site_fract_y
_atom_site_fract_z
_atom_site_occupancy
Pr1 Pr 0.246 0.000 0.000 1
Pr2 Pr 0.250 0.250 0.250 1
Ag1 Ag 0.000 0.000 0.333 1
Pd1 Pd 0.000 0.000 0.163 1
Pd2 Pd 0.000 0.249 0.415 1
# E_form: -0.59 eV/atom
# ρ: 8577 kg/m3
# E above lowest polymorph: 0.396 eV per formula unit
# Energy: -5.25 eV per atom

=====

# 2
# CrH2I6 GGA-PBE relaxed
data_CrH2I6
_chemical_formula_sum 'Cr4 H8 I24'
_cell_length_a 15.688
_cell_length_b 12.098
_cell_length_c 6.879
_cell_angle_alpha 90.00
_cell_angle_beta 94.92
_cell_angle_gamma 90.00
_space_group_name_H-M_alt 'C 1 2/c 1'
_space_group_IT_number 15
loop_
_space_group_symop_operation_xyz
'x,y,z'
'-x,-y,-z'
'-x,y,-z+1/2'
'x,-y,z+1/2'
'x+1/2,y+1/2,z'
'-x+1/2,-y+1/2,-z'
'-x+1/2,y+1/2,-z+1/2'
'x+1/2,-y+1/2,z+1/2'
loop_
_atom_site_label
_atom_site_type_symbol
_atom_site_fract_x
_atom_site_fract_y
_atom_site_fract_z
_atom_site_occupancy
Cr1 Cr 0.000 0.091 0.250 1
H1 H 0.110 0.447 0.147 1
I1 I 0.097 0.074 0.596 1
I2 I 0.111 0.239 0.135 1
I3 I 0.130 0.418 0.646 1
# ρ: 4164 kg/m3
# Energy: -2.94 eV per atom